# 1
## ScZn11Pd (PBE)

Data for a relaxed structure of ScZn11Pd.

Properties
VASP energy	-0.080	hartree per atom
energy of formation from the pure elements	-0.210	eV per atom
volume	202	Å³ per cell
spin magnetization	0.000	μB/cell

The structure in CIF format:
```
data_ScZn11Pd
_chemical_formula_sum 'Sc1 Zn11 Pd1'
_symmetry_space_group_name_H-M 'P 1'
_symmetry_Int_Tables_number 1
_cell_length_a 5.182
_cell_length_b 6.777
_cell_length_c 6.761
_cell_angle_alpha 81.31
_cell_angle_beta 67.47
_cell_angle_gamma 66.79
loop_
_symmetry_equiv_pos_as_xyz
'x,y,z'
loop_
_atom_site_label
_atom_site_fract_x
_atom_site_fract_y
_atom_site_fract_z
Sc1 0.000 0.000 0.000
Zn1 0.286 0.211 0.214
Zn2 0.714 0.789 0.786
Zn3 0.501 0.789 0.214
Zn4 0.499 0.211 0.786
Zn5 0.357 0.650 0.651
Zn6 0.643 0.350 0.349
Zn7 0.992 0.350 0.651
Zn8 0.008 0.650 0.349
Zn9 0.000 0.500 0.000
Zn10 0.500 0.000 0.500
Zn11 0.000 0.000 0.500
Pd1 0.500 0.500 0.000
```



# 2
## SmTmPu2Bi4 (PBE)

Data for a relaxed structure of SmTmPu2Bi4.

Properties
VASP energy	-0.267	hartree per atom
energy of formation from the pure elements	-0.585	eV per atom
volume	261	Å³ per cell
spin magnetization	10.258	μB/cell

The structure in CIF format:
```
data_SmTmPu2Bi4
_chemical_formula_sum 'Sm1 Tm1 Pu2 Bi4'
_symmetry_space_group_name_H-M 'P 1'
_symmetry_Int_Tables_number 1
_cell_length_a 4.517
_cell_length_b 7.828
_cell_length_c 7.829
_cell_angle_alpha 109.47
_cell_angle_beta 90.00
_cell_angle_gamma 90.00
loop_
_symmetry_equiv_pos_as_xyz
'x,y,z'
loop_
_atom_site_label
_atom_site_fract_x
_atom_site_fract_y
_atom_site_fract_z
Sm1 0.500 0.500 0.000
Tm1 0.000 0.000 0.000
Pu1 0.500 0.000 0.500
Pu2 0.000 0.500 0.500
Bi1 0.500 0.245 0.247
Bi2 0.500 0.755 0.753
Bi3 0.000 0.246 0.750
Bi4 0.000 0.754 0.250
```



# 3
## Li3CaRh (PBE)

Data for a relaxed structure of Li3CaRh.

Properties
VASP energy	-0.116	hartree per atom
excess energy over the best structure of this formula in the dataset	0	meV/atom
energy of formation from the pure elements	-0.137	eV per atom
volume	201	Å³ per cell
spin magnetization	0.000	μB/cell

The structure in CIF format:
```
data_Li3CaRh
_chemical_formula_sum 'Li6 Ca2 Rh2'
_symmetry_space_group_name_H-M 'P 1'
_symmetry_Int_Tables_number 1
_cell_length_a 5.444
_cell_length_b 5.561
_cell_length_c 7.207
_cell_angle_alpha 90.00
_cell_angle_beta 112.89
_cell_angle_gamma 90.00
loop_
_symmetry_equiv_pos_as_xyz
'x,y,z'
loop_
_atom_site_label
_atom_site_fract_x
_atom_site_fract_y
_atom_site_fract_z
Li1 0.873 0.448 0.157
Li2 0.161 0.948 0.403
Li3 0.734 0.193 0.479
Li4 0.734 0.702 0.479
Li5 0.301 0.693 0.081
Li6 0.301 0.202 0.081
Ca1 0.711 0.948 0.893
Ca2 0.323 0.448 0.667
Rh1 0.915 0.448 0.813
Rh2 0.119 0.948 0.748
```



# 4
## La2ReRh (PBE)

Data for a relaxed structure of La2ReRh.

Properties
VASP energy	-0.265	hartree per atom
excess energy over the best structure of this formula in the dataset	293	meV/atom
energy of formation from the pure elements	0.205	eV per atom
volume	90	Å³ per cell
spin magnetization	0.001	μB/cell

The structure in CIF format:
```
data_La2ReRh
_chemical_formula_sum 'La2 Re1 Rh1'
_symmetry_space_group_name_H-M 'P 1'
_symmetry_Int_Tables_number 1
_cell_length_a 5.932
_cell_length_b 5.932
_cell_length_c 5.932
_cell_angle_alpha 138.72
_cell_angle_beta 138.72
_cell_angle_gamma 59.81
loop_
_symmetry_equiv_pos_as_xyz
'x,y,z'
loop_
_atom_site_label
_atom_site_fract_x
_atom_site_fract_y
_atom_site_fract_z
La1 0.000 0.000 0.000
La2 0.250 0.750 0.500
Re1 0.500 0.500 0.000
Rh1 0.750 0.250 0.500
```



# 5
## Ca5CdHg8 (PBE)

Data for a relaxed structure of Ca5CdHg8.

Properties
VASP energy	-0.050	hartree per atom
energy of formation from the pure elements	-0.406	eV per atom
volume	389	Å³ per cell
spin magnetization	0.000	μB/cell

The structure in CIF format:
```
data_Ca5CdHg8
_chemical_formula_sum 'Ca5 Cd1 Hg8'
_symmetry_space_group_name_H-M 'P 1'
_symmetry_Int_Tables_number 1
_cell_length_a 7.967
_cell_length_b 7.967
_cell_length_c 7.967
_cell_angle_alpha 109.28
_cell_angle_beta 109.85
_cell_angle_gamma 109.28
loop_
_symmetry_equiv_pos_as_xyz
'x,y,z'
loop_
_atom_site_label
_atom_site_fract_x
_atom_site_fract_y
_atom_site_fract_z
Ca1 0.977 0.356 0.110
Ca2 0.890 0.867 0.246
Ca3 0.754 0.644 0.621
Ca4 0.500 0.000 0.500
Ca5 0.379 0.133 0.023
Cd1 0.250 0.500 0.750
Hg1 0.121 0.725 0.021
Hg2 0.979 0.100 0.704
Hg3 0.804 0.260 0.394
Hg4 0.606 0.411 0.866
Hg5 0.455 0.589 0.196
Hg6 0.604 0.900 0.879
Hg7 0.296 0.275 0.396
Hg8 0.134 0.740 0.545
```



# 6
## Cs2GeRhCl6 (PBE)

Data for a relaxed structure of Cs2GeRhCl6.

Properties
formation energy (no corrections)	-1152	meV per atom
VASP energy	-0.133	hartree per atom
volume	273	Å³ per cell
spin magnetization	1.000	μB/cell

The structure in CIF format:
```
data_Cs2GeRhCl6
_chemical_formula_sum 'Cs2 Ge1 Rh1 Cl6'
_symmetry_space_group_name_H-M 'P 1'
_symmetry_Int_Tables_number 1
_cell_length_a 7.282
_cell_length_b 7.282
_cell_length_c 7.285
_cell_angle_alpha 60.01
_cell_angle_beta 60.01
_cell_angle_gamma 90.00
loop_
_symmetry_equiv_pos_as_xyz
'x,y,z'
loop_
_atom_site_label
_atom_site_fract_x
_atom_site_fract_y
_atom_site_fract_z
Cs1 0.750 0.250 0.500
Cs2 0.250 0.750 0.500
Ge1 0.500 0.500 0.000
Rh1 0.000 0.000 0.000
Cl1 0.242 0.242 0.516
Cl2 0.758 0.758 0.484
Cl3 0.242 0.242 0.000
Cl4 0.758 0.758 0.000
Cl5 0.758 0.242 0.000
Cl6 0.242 0.758 0.000
```



# 7
## ScZn2Os (PBE)

Data for a relaxed structure of ScZn2Os.

Properties
VASP energy	-0.187	hartree per atom
excess energy over the best structure of this formula in the dataset	196	meV/atom
energy of formation from the pure elements	-0.074	eV per atom
volume	63	Å³ per cell
spin magnetization	0.001	μB/cell

The structure in CIF format:
```
data_ScZn2Os
_chemical_formula_sum 'Sc1 Zn2 Os1'
_symmetry_space_group_name_H-M 'P 1'
_symmetry_Int_Tables_number 1
_cell_length_a 3.358
_cell_length_b 3.358
_cell_length_c 5.606
_cell_angle_alpha 90.00
_cell_angle_beta 90.00
_cell_angle_gamma 90.01
loop_
_symmetry_equiv_pos_as_xyz
'x,y,z'
loop_
_atom_site_label
_atom_site_fract_x
_atom_site_fract_y
_atom_site_fract_z
Os1 0.500 0.500 0.250
Sc1 0.500 0.500 0.750
Zn1 0.000 0.000 0.024
Zn2 0.000 0.000 0.476
```



Which of these has the highest VASP energy? Ca5CdHg8



Repeat the sixth record exactly.
## Cs2GeRhCl6 (PBE)

Data for a relaxed structure of Cs2GeRhCl6.

Properties
formation energy (no corrections)	-1152	meV per atom
VASP energy	-0.133	hartree per atom
volume	273	Å³ per cell
spin magnetization	1.000	μB/cell

The structure in CIF format:
```
data_Cs2GeRhCl6
_chemical_formula_sum 'Cs2 Ge1 Rh1 Cl6'
_symmetry_space_group_name_H-M 'P 1'
_symmetry_Int_Tables_number 1
_cell_length_a 7.282
_cell_length_b 7.282
_cell_length_c 7.285
_cell_angle_alpha 60.01
_cell_angle_beta 60.01
_cell_angle_gamma 90.00
loop_
_symmetry_equiv_pos_as_xyz
'x,y,z'
loop_
_atom_site_label
_atom_site_fract_x
_atom_site_fract_y
_atom_site_fract_z
Cs1 0.750 0.250 0.500
Cs2 0.250 0.750 0.500
Ge1 0.500 0.500 0.000
Rh1 0.000 0.000 0.000
Cl1 0.242 0.242 0.516
Cl2 0.758 0.758 0.484
Cl3 0.242 0.242 0.000
Cl4 0.758 0.758 0.000
Cl5 0.758 0.242 0.000
Cl6 0.242 0.758 0.000
```



Repeat the fourth record exactly.
## La2ReRh (PBE)

Data for a relaxed structure of La2ReRh.

Properties
VASP energy	-0.265	hartree per atom
excess energy over the best structure of this formula in the dataset	293	meV/atom
energy of formation from the pure elements	0.205	eV per atom
volume	90	Å³ per cell
spin magnetization	0.001	μB/cell

The structure in CIF format:
```
data_La2ReRh
_chemical_formula_sum 'La2 Re1 Rh1'
_symmetry_space_group_name_H-M 'P 1'
_symmetry_Int_Tables_number 1
_cell_length_a 5.932
_cell_length_b 5.932
_cell_length_c 5.932
_cell_angle_alpha 138.72
_cell_angle_beta 138.72
_cell_angle_gamma 59.81
loop_
_symmetry_equiv_pos_as_xyz
'x,y,z'
loop_
_atom_site_label
_atom_site_fract_x
_atom_site_fract_y
_atom_site_fract_z
La1 0.000 0.000 0.000
La2 0.250 0.750 0.500
Re1 0.500 0.500 0.000
Rh1 0.750 0.250 0.500
```



Copy entry 4 word for word.
## La2ReRh (PBE)

Data for a relaxed structure of La2ReRh.

Properties
VASP energy	-0.265	hartree per atom
excess energy over the best structure of this formula in the dataset	293	meV/atom
energy of formation from the pure elements	0.205	eV per atom
volume	90	Å³ per cell
spin magnetization	0.001	μB/cell

The structure in CIF format:
```
data_La2ReRh
_chemical_formula_sum 'La2 Re1 Rh1'
_symmetry_space_group_name_H-M 'P 1'
_symmetry_Int_Tables_number 1
_cell_length_a 5.932
_cell_length_b 5.932
_cell_length_c 5.932
_cell_angle_alpha 138.72
_cell_angle_beta 138.72
_cell_angle_gamma 59.81
loop_
_symmetry_equiv_pos_as_xyz
'x,y,z'
loop_
_atom_site_label
_atom_site_fract_x
_atom_site_fract_y
_atom_site_fract_z
La1 0.000 0.000 0.000
La2 0.250 0.750 0.500
Re1 0.500 0.500 0.000
Rh1 0.750 0.250 0.500
```